No. 1
{"formula": "HfSe2NCl", "functional": "GGA-PBE", "state": "optimized geometry", "cell": [[4.823, 0.000, 0.000], [0.000, 4.823, 0.000], [0.000, 0.000, 3.802]], "species": ["N", "Se", "Se", "Cl", "Hf"], "frac_coords": [[0.000, 0.000, 0.500], [0.500, 0.000, 0.000], [0.000, 0.500, 0.000], [0.000, 0.000, 0.000], [0.500, 0.500, 0.500]], "crystal_system": "tetragonal", "de_polymorph_mev_per_atom": 976}


No. 2
{"formula": "MgGeI2O", "functional": "GGA-PBE", "state": "optimized geometry", "cell": [[-0.439, -5.189, -2.819], [3.318, -2.555, 4.186], [-3.145, -0.817, 1.994]], "species": ["I", "I", "O", "Ge", "Mg"], "frac_coords": [[0.000, 0.500, 0.000], [0.500, 0.000, 0.000], [0.000, 0.000, 0.500], [0.000, 0.000, 0.000], [0.500, 0.500, 0.500]], "crystal_system": "tetragonal", "de_polymorph_mev_per_atom": 73}


No. 3
{"formula": "TlHgSe", "functional": "GGA-PBE", "state": "optimized geometry", "cell": [[6.044, 0.008, 0.000], [3.523, 4.911, 0.000], [-4.783, -2.460, 2.757]], "species": ["Se", "Tl", "Hg"], "frac_coords": [[0.345, 0.345, 0.000], [0.678, 0.678, 0.000], [0.977, 0.977, 0.000]], "crystal_system": "tetragonal", "de_polymorph_mev_per_atom": 191}


No. 4
{"formula": "NbCo4Hg", "functional": "GGA-PBE", "state": "optimized geometry", "cell": [[4.810, 0.000, 0.000], [2.405, 4.166, 0.000], [2.405, 1.389, 3.927]], "species": ["Co", "Co", "Co", "Co", "Nb", "Hg"], "frac_coords": [[0.625, 0.625, 0.125], [0.625, 0.125, 0.625], [0.625, 0.625, 0.625], [0.125, 0.625, 0.625], [0.000, 0.000, 0.000], [0.250, 0.250, 0.250]], "delta_e_f_ev_per_atom": 0.0550, "crystal_system": "cubic"}


No. 5
{"formula": "Tb2Ho3Tm6Pu", "functional": "GGA-PBE", "state": "optimized geometry", "cell": [[-1.305, 3.997, 4.370], [-1.634, -5.807, 0.615], [10.924, -1.659, 3.374]], "species": ["Tm", "Tm", "Tm", "Tm", "Tm", "Tm", "Tb", "Tb", "Ho", "Ho", "Ho", "Pu"], "frac_coords": [[0.588, 0.917, 0.751], [0.917, 0.588, 0.751], [0.247, 0.247, 0.751], [0.083, 0.412, 0.249], [0.412, 0.083, 0.249], [0.753, 0.753, 0.249], [0.333, 0.667, 0.000], [0.667, 0.333, 0.000], [0.833, 0.167, 0.500], [0.167, 0.833, 0.500], [0.500, 0.500, 0.500], [0.000, 0.000, 0.000]], "delta_e_f_ev_per_atom": 0.0438, "crystal_system": "monoclinic"}


No. 6
{"formula": "SrRe2Tc", "functional": "GGA-PBE", "state": "optimized geometry", "cell": [[-5.260, -1.435, -1.309], [4.091, -3.822, 0.303], [-0.540, -0.373, 2.578]], "species": ["Tc", "Re", "Re", "Sr"], "frac_coords": [[0.000, 0.500, 0.500], [0.500, 0.500, 0.000], [0.000, 0.000, 0.000], [0.500, 0.000, 0.500]], "delta_e_f_ev_per_atom": 1.1633, "crystal_system": "orthorhombic", "de_polymorph_mev_per_atom": 513}


no.,total moment (μB per formula unit)
1,0.00
2,0.00
3,0.00
4,2.69
5,6.39
6,0.12